(1)
# PBE-GGA LiNbN2, optimized geometry
data_LiNbN2
_cell_length_a 6.175
_cell_length_b 6.175
_cell_length_c 6.175
_cell_angle_alpha 29.69
_cell_angle_beta 29.69
_cell_angle_gamma 29.69
_symmetry_space_group_name_H-M 'P 1'
_symmetry_Int_Tables_number 1
loop_
_symmetry_equiv_pos_as_xyz
'x,y,z'
loop_
_atom_site_label
_atom_site_fract_x
_atom_site_fract_y
_atom_site_fract_z
Nb1 0.500 0.500 0.500
Li1 0.000 0.000 0.000
N1 0.894 0.894 0.894
N2 0.106 0.106 0.106
# Offset from the most stable computed form (eV/atom): 0.224
# Symmetry: R-3m, No. 166
# Formation energy (no corrections) (eV per formula unit): -2.732
# DOS(E_F) (states/eV/atom): 0.00
# Raw total energy (eV/atom): -7.841

=====

(2)
# PBE-GGA TbErHgPd, optimized geometry
data_TbErHgPd
_cell_length_a 5.103
_cell_length_b 5.103
_cell_length_c 5.103
_cell_angle_alpha 60.00
_cell_angle_beta 60.00
_cell_angle_gamma 60.00
_symmetry_space_group_name_H-M 'P 1'
_symmetry_Int_Tables_number 1
loop_
_symmetry_equiv_pos_as_xyz
'x,y,z'
loop_
_atom_site_label
_atom_site_fract_x
_atom_site_fract_y
_atom_site_fract_z
Tb1 0.250 0.250 0.250
Hg1 0.500 0.500 0.500
Pd1 0.000 0.000 0.000
Er1 0.750 0.750 0.750
# Offset from the most stable computed form (eV/atom): 0.039
# Symmetry: F-43m, No. 216
# DOS(E_F) (states/eV/atom): 0.67
# Raw total energy (eV/atom): -4.323
# Energy relative to the elements (eV per atom): -0.65

=====

(3)
# PBE-GGA B5C7, optimized geometry
data_B5C7
_cell_length_a 2.456
_cell_length_b 4.852
_cell_length_c 6.636
_cell_angle_alpha 96.23
_cell_angle_beta 90.00
_cell_angle_gamma 90.00
_symmetry_space_group_name_H-M 'P 1'
_symmetry_Int_Tables_number 1
loop_
_symmetry_equiv_pos_as_xyz
'x,y,z'
loop_
_atom_site_label
_atom_site_fract_x
_atom_site_fract_y
_atom_site_fract_z
B1 0.500 0.522 0.232
B2 0.500 0.194 0.905
B3 0.000 0.661 0.667
B4 0.000 0.310 0.345
B5 0.000 0.982 0.020
C1 0.500 0.842 0.340
C2 0.500 0.520 0.990
C3 0.000 0.316 0.590
C4 0.000 0.977 0.262
C5 0.000 0.652 0.916
C6 0.500 0.169 0.659
C7 0.500 0.855 0.572
# Offset from the most stable computed form (eV/atom): 0.079
# Symmetry: Pm, No. 6
# DOS(E_F) (states/eV/atom): 0.16
# Raw total energy (eV/atom): -7.826
# Energy relative to the elements (eV per atom): 0.34

=====

(4)
# PBE-GGA Zr2TiO, optimized geometry
data_Zr2TiO
_cell_length_a 3.185
_cell_length_b 3.185
_cell_length_c 7.918
_cell_angle_alpha 78.40
_cell_angle_beta 78.40
_cell_angle_gamma 60.00
_symmetry_space_group_name_H-M 'P 1'
_symmetry_Int_Tables_number 1
loop_
_symmetry_equiv_pos_as_xyz
'x,y,z'
loop_
_atom_site_label
_atom_site_fract_x
_atom_site_fract_y
_atom_site_fract_z
O1 0.000 0.000 0.000
Zr1 0.729 0.729 0.813
Zr2 0.271 0.271 0.187
Ti1 0.500 0.500 0.500
# Symmetry: R-3m, No. 166
# Formation energy (no corrections) (eV per formula unit): -4.714
# DOS(E_F) (states/eV/atom): 1.02
# Raw total energy (eV/atom): -8.666

=====

(5)
# PBE-GGA RbCaZn2, optimized geometry
data_RbCaZn2
_cell_length_a 8.784
_cell_length_b 8.784
_cell_length_c 7.275
_cell_angle_alpha 52.86
_cell_angle_beta 52.86
_cell_angle_gamma 90.00
_symmetry_space_group_name_H-M 'P 1'
_symmetry_Int_Tables_number 1
loop_
_symmetry_equiv_pos_as_xyz
'x,y,z'
loop_
_atom_site_label
_atom_site_fract_x
_atom_site_fract_y
_atom_site_fract_z
Zn1 0.590 0.125 0.250
Zn2 0.160 0.625 0.250
Zn3 0.375 0.410 0.750
Zn4 0.875 0.840 0.750
Ca1 0.500 0.500 0.000
Ca2 0.250 0.750 0.500
Rb1 0.000 0.000 0.000
Rb2 0.750 0.250 0.500
# Offset from the most stable computed form (eV/atom): 0.123
# Symmetry: I-42d, No. 122
# DOS(E_F) (states/eV/atom): 0.96
# Raw total energy (eV/atom): -1.075
# Energy relative to the elements (eV per atom): 0.30

=====

(6)
# PBE-GGA CsNaAgO2, optimized geometry
data_CsNaAgO2
_cell_length_a 5.735
_cell_length_b 5.535
_cell_length_c 7.072
_cell_angle_alpha 113.04
_cell_angle_beta 90.00
_cell_angle_gamma 90.00
_symmetry_space_group_name_H-M 'P 1'
_symmetry_Int_Tables_number 1
loop_
_symmetry_equiv_pos_as_xyz
'x,y,z'
loop_
_atom_site_label
_atom_site_fract_x
_atom_site_fract_y
_atom_site_fract_z
Cs1 0.257 0.750 0.500
Cs2 0.743 0.250 0.500
Na1 0.500 0.750 0.000
Na2 0.500 0.250 0.000
Ag1 0.000 0.000 0.000
Ag2 0.000 0.500 0.000
O1 0.732 0.900 0.799
O2 0.732 0.600 0.201
O3 0.268 0.400 0.799
O4 0.268 0.100 0.201
# Symmetry: Cmme, No. 67
# Formation energy (no corrections) (eV per formula unit): -3.755
# DOS(E_F) (states/eV/atom): 1.13
# Raw total energy (eV/atom): -3.739

=====

(7)
# PBE-GGA Rb3Tm2MnS6, optimized geometry
data_Rb3Tm2MnS6
_cell_length_a 6.765
_cell_length_b 6.765
_cell_length_c 8.016
_cell_angle_alpha 99.02
_cell_angle_beta 99.02
_cell_angle_gamma 117.97
_symmetry_space_group_name_H-M 'P 1'
_symmetry_Int_Tables_number 1
loop_
_symmetry_equiv_pos_as_xyz
'x,y,z'
loop_
_atom_site_label
_atom_site_fract_x
_atom_site_fract_y
_atom_site_fract_z
Rb1 0.172 0.828 0.500
Rb2 0.828 0.172 0.500
Rb3 0.500 0.500 0.500
Tm1 0.337 0.663 0.000
Tm2 0.663 0.337 0.000
Mn1 0.000 0.000 0.000
S1 0.942 0.636 0.824
S2 0.728 0.728 0.202
S3 0.058 0.364 0.176
S4 0.636 0.942 0.824
S5 0.272 0.272 0.798
S6 0.364 0.058 0.176
# Symmetry: C2/m, No. 12
# Formation energy (no corrections) (eV per formula unit): -17.387
# Raw total energy (eV/atom): -5.264

=====

(8)
# PBE-GGA Li5MgH8, optimized geometry
data_Li5MgH8
_cell_length_a 5.617
_cell_length_b 5.617
_cell_length_c 5.617
_cell_angle_alpha 60.00
_cell_angle_beta 60.00
_cell_angle_gamma 60.00
_symmetry_space_group_name_H-M 'P 1'
_symmetry_Int_Tables_number 1
loop_
_symmetry_equiv_pos_as_xyz
'x,y,z'
loop_
_atom_site_label
_atom_site_fract_x
_atom_site_fract_y
_atom_site_fract_z
Li1 0.000 0.000 0.000
Li2 0.626 0.626 0.121
Li3 0.626 0.626 0.626
Li4 0.121 0.626 0.626
Li5 0.626 0.121 0.626
Mg1 0.250 0.250 0.250
H1 0.385 0.846 0.385
H2 0.846 0.385 0.385
H3 0.385 0.385 0.385
H4 0.385 0.385 0.846
H5 0.867 0.867 0.399
H6 0.399 0.867 0.867
H7 0.867 0.867 0.867
H8 0.867 0.399 0.867
# Symmetry: F-43m, No. 216
# DOS(E_F) (states/eV/atom): 0.37
# Raw total energy (eV/atom): -2.864

=====

(9)
# PBE-GGA Pm15Ho4Mg, optimized geometry
data_Pm15Ho4Mg
_cell_length_a 5.093
_cell_length_b 5.093
_cell_length_c 25.542
_cell_angle_alpha 90.00
_cell_angle_beta 90.00
_cell_angle_gamma 90.00
_symmetry_space_group_name_H-M 'P 1'
_symmetry_Int_Tables_number 1
loop_
_symmetry_equiv_pos_as_xyz
'x,y,z'
loop_
_atom_site_label
_atom_site_fract_x
_atom_site_fract_y
_atom_site_fract_z
Pm1 0.500 0.500 0.000
Pm2 0.500 0.500 0.197
Pm3 0.500 0.500 0.399
Pm4 0.500 0.500 0.601
Pm5 0.500 0.500 0.803
Pm6 0.500 0.000 0.098
Pm7 0.500 0.000 0.299
Pm8 0.500 0.000 0.500
Pm9 0.500 0.000 0.701
Pm10 0.500 0.000 0.902
Pm11 0.000 0.500 0.098
Pm12 0.000 0.500 0.299
Pm13 0.000 0.500 0.500
Pm14 0.000 0.500 0.701
Pm15 0.000 0.500 0.902
Ho1 0.000 0.000 0.198
Ho2 0.000 0.000 0.399
Ho3 0.000 0.000 0.601
Ho4 0.000 0.000 0.802
Mg1 0.000 0.000 0.000
# Symmetry: P4/mmm, No. 123
# DOS(E_F) (states/eV/atom): 1.37
# Raw total energy (eV/atom): -4.548
# Energy relative to the elements (eV per atom): 0.01

=====

(10)
# PBE-GGA La3TbPr3, optimized geometry
data_La3TbPr3
_cell_length_a 5.977
_cell_length_b 9.934
_cell_length_c 9.934
_cell_angle_alpha 120.00
_cell_angle_beta 90.00
_cell_angle_gamma 90.00
_symmetry_space_group_name_H-M 'P 1'
_symmetry_Int_Tables_number 1
loop_
_symmetry_equiv_pos_as_xyz
'x,y,z'
loop_
_atom_site_label
_atom_site_fract_x
_atom_site_fract_y
_atom_site_fract_z
La1 0.750 0.477 0.380
La2 0.750 0.903 0.523
La3 0.250 0.380 0.903
La4 0.750 0.620 0.097
La5 0.250 0.097 0.477
La6 0.250 0.523 0.620
Tb1 0.250 0.667 0.333
Tb2 0.750 0.333 0.667
Pr1 0.750 0.191 0.952
Pr2 0.750 0.761 0.809
Pr3 0.250 0.952 0.761
Pr4 0.750 0.048 0.239
Pr5 0.250 0.239 0.191
Pr6 0.250 0.809 0.048
# Offset from the most stable computed form (eV/atom): 0.000
# Symmetry: P6_3/m, No. 176
# DOS(E_F) (states/eV/atom): 1.78
# Raw total energy (eV/atom): -4.787
# Energy relative to the elements (eV per atom): 0.03

=====

(11)
# PBE-GGA VPt2Au, optimized geometry
data_VPt2Au
_cell_length_a 4.482
_cell_length_b 4.482
_cell_length_c 4.482
_cell_angle_alpha 60.00
_cell_angle_beta 60.00
_cell_angle_gamma 60.00
_symmetry_space_group_name_H-M 'P 1'
_symmetry_Int_Tables_number 1
loop_
_symmetry_equiv_pos_as_xyz
'x,y,z'
loop_
_atom_site_label
_atom_site_fract_x
_atom_site_fract_y
_atom_site_fract_z
Au1 0.500 0.500 0.500
Pt1 0.250 0.250 0.250
Pt2 0.750 0.750 0.750
V1 0.000 0.000 0.000
# Offset from the most stable computed form (eV/atom): 0.256
# Symmetry: Fm-3m, No. 225
# DOS(E_F) (states/eV/atom): 1.21
# Raw total energy (eV/atom): -6.234
# Energy relative to the elements (eV per atom): -0.11

=====

(12)
# PBE-GGA KAu2Br7, optimized geometry
data_KAu2Br7
_cell_length_a 4.550
_cell_length_b 10.485
_cell_length_c 10.485
_cell_angle_alpha 134.50
_cell_angle_beta 90.00
_cell_angle_gamma 90.00
_symmetry_space_group_name_H-M 'P 1'
_symmetry_Int_Tables_number 1
loop_
_symmetry_equiv_pos_as_xyz
'x,y,z'
loop_
_atom_site_label
_atom_site_fract_x
_atom_site_fract_y
_atom_site_fract_z
K1 0.000 0.000 0.000
Au1 0.500 0.637 0.363
Au2 0.500 0.363 0.637
Br1 0.000 0.704 0.296
Br2 0.000 0.296 0.704
Br3 0.500 0.058 0.322
Br4 0.500 0.942 0.678
Br5 0.500 0.322 0.058
Br6 0.500 0.678 0.942
Br7 0.500 0.500 0.500
# Symmetry: Cmmm, No. 65
# Formation energy (no corrections) (eV per formula unit): -3.277
# DOS(E_F) (states/eV/atom): 0.66
# Raw total energy (eV/atom): -2.264